Compound: CaPmY2
Source: the Alexandria database
Functional: PBE-GGA
Structure: relaxed

Unit cell a=5.199 b=5.139 c=5.139 alpha=90.00 beta=90.00 gamma=90.00
Fractional coordinates of all 4 atoms:
Y1 0.000 0.000 0.500
Y2 0.000 0.500 0.000
Ca1 0.500 0.000 0.000
Pm1 0.500 0.500 0.500

Computed properties:
Its calculated volume is 34.33 Å³/atom. For the excess energy over the best structure of this formula in the dataset, the calculation gives 0.24 eV per formula unit. As for the space group: P4/mmm (123). The value obtained for the total magnetization is 0.00 μB per formula unit. The calculation puts the total energy at -0.177 hartree per atom.


Compound: CaPm3Y3
Source: the Alexandria database
Functional: PBE-GGA
Structure: relaxed

Unit cell a=9.761 b=9.421 c=8.633 alpha=65.62 beta=43.56 gamma=81.79
Fractional coordinates of all 14 atoms:
Ca1 0.546 0.492 0.257
Ca2 0.454 0.508 0.743
Pm1 0.899 0.655 0.582
Pm2 0.694 0.196 0.546
Pm3 0.736 0.943 0.307
Pm4 0.264 0.057 0.693
Pm5 0.306 0.804 0.454
Pm6 0.101 0.345 0.418
Y1 0.408 0.780 0.972
Y2 0.840 0.921 0.828
Y3 0.015 0.362 0.891
Y4 0.985 0.638 0.109
Y5 0.160 0.079 0.172
Y6 0.592 0.220 0.028

Computed properties:
Its calculated volume is 34.47 Å³/atom. As for the space group: P-1 (2). The value obtained for the total magnetization is 0.00 μB per formula unit. The calculation puts the total energy at -0.186 hartree per atom.


Compound: CaPm6Y4
Source: the Alexandria database
Functional: PBE-GGA
Structure: relaxed

Unit cell a=8.585 b=8.585 c=8.585 alpha=81.88 beta=124.79 gamma=124.79
Fractional coordinates of all 11 atoms:
Ca1 0.000 0.000 0.000
Pm1 0.000 0.741 0.408
Pm2 0.000 0.408 0.741
Pm3 0.333 0.592 0.592
Pm4 0.500 0.500 0.000
Pm5 0.667 0.259 0.259
Pm6 0.500 0.000 0.500
Y1 0.000 0.552 0.071
Y2 0.520 0.448 0.448
Y3 0.000 0.071 0.552
Y4 0.480 0.929 0.929

Computed properties:
Its calculated volume is 37.31 Å³/atom. For the excess energy over the best structure of this formula in the dataset, the calculation gives 0.15 eV per formula unit. As for the space group: I-42m (121). The value obtained for the total magnetization is 0.00 μB per formula unit. The calculation puts the total energy at -0.174 hartree per atom.


Compound: CaPm2Y
Source: the Alexandria database
Functional: PBE-GGA
Structure: relaxed

Unit cell a=3.601 b=3.601 c=12.997 alpha=82.04 beta=82.04 gamma=60.00
Fractional coordinates of all 4 atoms:
Y1 0.500 0.500 0.500
Ca1 0.000 0.000 0.000
Pm1 0.092 0.092 0.725
Pm2 0.908 0.908 0.275

Computed properties:
Its calculated volume is 36.02 Å³/atom. For the excess energy over the best structure of this formula in the dataset, the calculation gives 0.38 eV per formula unit. As for the space group: R-3m (166). The value obtained for the total magnetization is 0.00 μB per formula unit. The calculation puts the total energy at -0.160 hartree per atom.


Compound: CaPm6Y3
Source: the Alexandria database
Functional: PBE-GGA
Structure: relaxed

Unit cell a=3.577 b=12.206 c=16.363 alpha=104.07 beta=90.00 gamma=90.00
Fractional coordinates of all 20 atoms:
Ca1 0.250 0.368 0.938
Ca2 0.750 0.632 0.062
Pm1 0.250 0.387 0.540
Pm2 0.750 0.613 0.460
Pm3 0.250 0.880 0.019
Pm4 0.750 0.120 0.981
Pm5 0.250 0.840 0.614
Pm6 0.750 0.160 0.386
Pm7 0.250 0.653 0.273
Pm8 0.750 0.347 0.727
Pm9 0.250 0.618 0.853
Pm10 0.750 0.382 0.147
Pm11 0.250 0.137 0.180
Pm12 0.750 0.863 0.820
Y1 0.250 0.117 0.572
Y2 0.750 0.883 0.428
Y3 0.250 0.387 0.330
Y4 0.750 0.613 0.670
Y5 0.250 0.105 0.783
Y6 0.750 0.895 0.217

Computed properties:
Its calculated volume is 34.65 Å³/atom. As for the space group: P2_1/m (11). The value obtained for the total magnetization is 0.00 μB per formula unit. The calculation puts the total energy at -0.181 hartree per atom.


Compound: CaPm3Y6
Source: the Alexandria database
Functional: PBE-GGA
Structure: relaxed

Unit cell a=9.943 b=9.943 c=6.972 alpha=44.51 beta=44.51 gamma=60.00
Last column: magnetic moment on the atom in μB.
Fractional coordinates of all 10 atoms:
Ca1 0.851 0.851 0.448  0.02
Pm1 0.351 0.351 0.946  0.12
Pm2 0.596 0.596 0.211  0.09
Pm3 0.104 0.104 0.687  0.09
Y1 0.929 0.602 0.197  0.01
Y2 0.272 0.929 0.197  0.01
Y3 0.602 0.272 0.197  0.01
Y4 0.097 0.427 0.706  0.01
Y5 0.770 0.097 0.706  0.01
Y6 0.427 0.770 0.706  0.01

Computed properties:
Its calculated volume is 33.87 Å³/atom. As for the space group: R3 (146). The value obtained for the total magnetization is 0.50 μB per formula unit. The calculation puts the total energy at -0.192 hartree per atom.


Compound: CaPmY2
Source: the Alexandria database
Functional: PBE-GGA
Structure: relaxed

Unit cell a=3.639 b=3.639 c=12.276 alpha=81.48 beta=81.48 gamma=60.00
Fractional coordinates of all 4 atoms:
Ca1 0.501 0.501 0.498
Pm1 0.666 0.666 0.001
Y1 0.079 0.079 0.762
Y2 0.254 0.254 0.238

Computed properties:
Its calculated volume is 34.67 Å³/atom. For the excess energy over the best structure of this formula in the dataset, the calculation gives 0.00 eV per formula unit. As for the space group: R3m (160). The value obtained for the total magnetization is 0.00 μB per formula unit. The calculation puts the total energy at -0.179 hartree per atom.


Compound: CaPm6Y4
Source: the Alexandria database
Functional: PBE-GGA
Structure: relaxed

Unit cell a=7.832 b=7.832 c=8.649 alpha=116.92 beta=116.92 gamma=90.00
Fractional coordinates of all 11 atoms:
Ca1 0.500 0.500 0.000
Pm1 0.935 0.443 0.378
Pm2 0.443 0.935 0.378
Pm3 0.557 0.557 0.622
Pm4 0.000 0.500 0.000
Pm5 0.065 0.065 0.622
Pm6 0.500 0.000 0.000
Y1 0.083 0.761 0.843
Y2 0.917 0.917 0.157
Y3 0.761 0.083 0.843
Y4 0.239 0.239 0.157

Computed properties:
Its calculated volume is 37.05 Å³/atom. For the excess energy over the best structure of this formula in the dataset, the calculation gives 0.00 eV per formula unit. As for the space group: I-42m (121). The value obtained for the total magnetization is 0.00 μB per formula unit. The calculation puts the total energy at -0.174 hartree per atom.


Compound: CaPmY2
Source: the Alexandria database
Functional: PBE-GGA
Structure: relaxed

Unit cell a=3.647 b=3.647 c=12.291 alpha=81.47 beta=81.47 gamma=60.00
Fractional coordinates of all 4 atoms:
Y1 0.754 0.754 0.738
Y2 0.246 0.246 0.262
Ca1 0.000 0.000 0.000
Pm1 0.500 0.500 0.500

Computed properties:
Its calculated volume is 34.87 Å³/atom. For the excess energy over the best structure of this formula in the dataset, the calculation gives 0.02 eV per formula unit. As for the space group: R-3m (166). The value obtained for the total magnetization is 0.00 μB per formula unit. The calculation puts the total energy at -0.179 hartree per atom.


Compound: CaPm12Y7
Source: the Alexandria database
Functional: PBE-GGA
Structure: relaxed

Unit cell a=10.044 b=10.044 c=10.044 alpha=109.47 beta=109.47 gamma=109.47
Fractional coordinates of all 20 atoms:
Ca1 0.000 0.000 0.000
Pm1 0.480 0.739 0.740
Pm2 0.999 0.739 0.260
Pm3 0.520 0.261 0.260
Pm4 0.001 0.261 0.740
Pm5 0.740 0.001 0.261
Pm6 0.740 0.480 0.739
Pm7 0.260 0.999 0.739
Pm8 0.260 0.520 0.261
Pm9 0.739 0.740 0.480
Pm10 0.261 0.260 0.520
Pm11 0.739 0.260 0.999
Pm12 0.261 0.740 0.001
Y1 0.500 0.500 0.000
Y2 0.000 0.500 0.500
Y3 0.500 0.000 0.500
Y4 0.500 0.500 0.500
Y5 0.000 0.000 0.500
Y6 0.500 0.000 0.000
Y7 0.000 0.500 0.000

Computed properties:
Its calculated volume is 39.00 Å³/atom. As for the space group: Im-3 (204). The value obtained for the total magnetization is 0.00 μB per formula unit. The calculation puts the total energy at -0.168 hartree per atom.


Compound: CaPm2Y
Source: the Alexandria database
Functional: PBE-GGA
Structure: relaxed

Unit cell a=5.096 b=5.229 c=5.229 alpha=90.00 beta=90.00 gamma=90.00
Fractional coordinates of all 4 atoms:
Y1 0.500 0.000 0.000
Ca1 0.500 0.500 0.500
Pm1 0.000 0.000 0.500
Pm2 0.000 0.500 0.000

Computed properties:
Its calculated volume is 34.83 Å³/atom. For the excess energy over the best structure of this formula in the dataset, the calculation gives 0.24 eV per formula unit. As for the space group: P4/mmm (123). The value obtained for the total magnetization is 0.00 μB per formula unit. The calculation puts the total energy at -0.161 hartree per atom.


Number 1: formation energy 116 meV per atom. Number 2: formation energy 40 meV per atom. Number 3: formation energy 402 meV per atom. Number 4: formation energy 134 meV per atom. Number 5: formation energy 74 meV per atom. Number 6: formation energy 269 meV per atom. Number 7: formation energy 55 meV per atom. Number 8: formation energy 388 meV per atom. Number 9: formation energy 60 meV per atom. Number 10: formation energy 653 meV per atom. Number 11: formation energy 100 meV per atom.